The following is a DFT calculation (PBE-GGA) of CePaAsSe after structural relaxation. Values from VASP.

```
&SYSTEM
  ibrav = 0, nat = 16, ntyp = 4
/
ATOMIC_SPECIES
Ce 140.12 Ce.upf
Pa 231.04 Pa.upf
As 74.92 As.upf
Se 78.96 Se.upf
ATOMIC_POSITIONS angstrom
Ce 0.000 0.000 0.000
Ce 0.000 3.584 3.584
Ce 3.584 0.000 3.584
Ce 3.584 3.584 0.000
Pa 0.000 0.000 3.584
Pa 0.000 3.584 0.000
Pa 3.584 0.000 0.000
Pa 3.584 3.584 3.584
As 1.792 1.792 1.792
As 1.792 5.376 5.376
As 5.376 1.792 5.376
As 5.376 5.376 1.792
Se 1.792 1.792 5.376
Se 1.792 5.376 1.792
Se 5.376 1.792 1.792
Se 5.376 5.376 5.376
CELL_PARAMETERS angstrom
7.168 0.000 0.000
0.000 7.168 0.000
0.000 0.000 7.168
```

## Properties
DFT total energy = -6.99 eV/atom
Volume = 368.2 Å³ per cell
Energy relative to the elements, uncorrected = -1.102 eV/atom
Distance to the lowest polymorph of the same formula = 0.1753 eV per atom
Space-group type = F-43m, No. 216


The following is a DFT calculation (PBE-GGA) of Ce2SmPaAs5 after structural relaxation. Values from VASP.

```
&SYSTEM
  ibrav = 0, nat = 9, ntyp = 4
/
ATOMIC_SPECIES
Ce 140.12 Ce.upf
Sm 150.36 Sm.upf
Pa 231.04 Pa.upf
As 74.92 As.upf
ATOMIC_POSITIONS angstrom
Ce 0.000 0.000 2.428
Ce 0.000 0.000 8.549
Sm 2.550 2.550 5.488
Pa 2.550 2.550 0.000
As 0.000 0.000 5.488
As 0.000 2.550 0.000
As 2.550 0.000 0.000
As 2.550 2.550 2.753
As 2.550 2.550 8.224
CELL_PARAMETERS angstrom
5.100 0.000 0.000
0.000 5.100 0.000
0.000 0.000 10.977
```

## Properties
DFT total energy = -6.09 eV/atom
ΔH_f (0 K) = -0.6083 eV per atom
Volume = 285.5 Å³ per cell
Space-group type = P4/mmm, No. 123